Entry 1:
A relaxed structure of TaTi2Br. Source: Alexandria via LeMat-Bulk, functional PBE-GGA.

## Properties
energy above the most stable polymorph in this dataset	0	meV/atom
DFT total energy	-109.13	eV for the cell shown
space group	No. 225
raw formation energy	0.508	eV/atom

abc: 6.5702 6.5702 6.5702
angles: 90.00 90.00 90.00
Last column: nearest neighbours and their distance in Å.
Atoms (fractional coordinates):
Ta (0.0000, 0.0000, 0.0000)  8 Ti 2.84
Ta (0.0000, 0.5000, 0.5000)  8 Ti 2.84
Ta (0.5000, 0.0000, 0.5000)  8 Ti 2.84
Ta (0.5000, 0.5000, 0.0000)  8 Ti 2.84
Ti (0.2500, 0.2500, 0.2500)  4 Ta 2.84, 4 Br 2.84
Ti (0.2500, 0.2500, 0.7500)  4 Ta 2.84, 4 Br 2.84
Ti (0.2500, 0.7500, 0.2500)  4 Ta 2.84, 4 Br 2.84
Ti (0.2500, 0.7500, 0.7500)  4 Ta 2.84, 4 Br 2.84
Ti (0.7500, 0.2500, 0.2500)  4 Ta 2.84, 4 Br 2.84
Ti (0.7500, 0.2500, 0.7500)  4 Ta 2.84, 4 Br 2.84
Ti (0.7500, 0.7500, 0.2500)  4 Ta 2.84, 4 Br 2.84
Ti (0.7500, 0.7500, 0.7500)  4 Ta 2.84, 4 Br 2.84
Br (0.0000, 0.0000, 0.5000)  8 Ti 2.84
Br (0.0000, 0.5000, 0.0000)  8 Ti 2.84
Br (0.5000, 0.0000, 0.0000)  8 Ti 2.84
Br (0.5000, 0.5000, 0.5000)  8 Ti 2.84


Entry 2:
A relaxed structure of TaTi2Br. Source: Alexandria via LeMat-Bulk, functional PBE-GGA.

## Properties
energy above the most stable polymorph in this dataset	197	meV/atom
DFT total energy	-105.98	eV for the cell shown
space group	No. 122
raw formation energy	0.705	eV/atom

abc: 3.9845 3.9845 18.7465
angles: 90.00 90.00 90.00
Last column: nearest neighbours and their distance in Å.
Atoms (fractional coordinates):
Ta (0.0000, 0.0000, 0.0000)  4 Ti 2.74, 4 Br 2.82
Ta (0.0000, 0.5000, 0.2500)  4 Ti 2.74, 4 Br 2.82
Ta (0.5000, 0.0000, 0.7500)  4 Ti 2.74, 4 Br 2.82
Ta (0.5000, 0.5000, 0.5000)  4 Ti 2.74, 4 Br 2.82
Ti (0.2439, 0.2500, 0.6250)  2 Br 2.73, 2 Ta 2.74, 4 Ti 2.78-2.85
Ti (0.2500, 0.7439, 0.8750)  2 Br 2.73, 2 Ta 2.74, 4 Ti 2.78-2.85
Ti (0.2500, 0.7561, 0.3750)  2 Br 2.73, 2 Ta 2.74, 4 Ti 2.78-2.85
Ti (0.2561, 0.2500, 0.1250)  2 Br 2.73, 2 Ta 2.74, 4 Ti 2.78-2.85
Ti (0.7439, 0.7500, 0.1250)  2 Br 2.73, 2 Ta 2.74, 4 Ti 2.78-2.85
Ti (0.7500, 0.2439, 0.3750)  2 Br 2.73, 2 Ta 2.74, 4 Ti 2.78-2.85
Ti (0.7500, 0.2561, 0.8750)  2 Br 2.73, 2 Ta 2.74, 4 Ti 2.78-2.85
Ti (0.7561, 0.7500, 0.6250)  2 Br 2.73, 2 Ta 2.74, 4 Ti 2.78-2.85
Br (0.0000, 0.0000, 0.5000)  4 Ti 2.73, 4 Ta 2.82
Br (0.0000, 0.5000, 0.7500)  4 Ti 2.73, 4 Ta 2.82
Br (0.5000, 0.0000, 0.2500)  4 Ti 2.73, 4 Ta 2.82
Br (0.5000, 0.5000, 0.0000)  4 Ti 2.73, 4 Ta 2.82


Entry 3:
A relaxed structure of Ta2TiBr. Source: Alexandria via LeMat-Bulk, functional PBE-GGA.

## Properties
energy above the most stable polymorph in this dataset	170	meV/atom
DFT total energy	-119.54	eV for the cell shown
space group	No. 225
raw formation energy	0.847	eV/atom

abc: 6.6092 6.6092 6.6092
angles: 90.00 90.00 90.00
Last column: nearest neighbours and their distance in Å.
Atoms (fractional coordinates):
Ta (0.2500, 0.2500, 0.2500)  4 Br 2.86, 4 Ti 2.86
Ta (0.2500, 0.2500, 0.7500)  4 Br 2.86, 4 Ti 2.86
Ta (0.2500, 0.7500, 0.2500)  4 Br 2.86, 4 Ti 2.86
Ta (0.2500, 0.7500, 0.7500)  4 Br 2.86, 4 Ti 2.86
Ta (0.7500, 0.2500, 0.2500)  4 Br 2.86, 4 Ti 2.86
Ta (0.7500, 0.2500, 0.7500)  4 Br 2.86, 4 Ti 2.86
Ta (0.7500, 0.7500, 0.2500)  4 Br 2.86, 4 Ti 2.86
Ta (0.7500, 0.7500, 0.7500)  4 Ti 2.86, 4 Br 2.86
Ti (0.0000, 0.0000, 0.0000)  8 Ta 2.86
Ti (0.0000, 0.5000, 0.5000)  8 Ta 2.86
Ti (0.5000, 0.0000, 0.5000)  8 Ta 2.86
Ti (0.5000, 0.5000, 0.0000)  8 Ta 2.86
Br (0.0000, 0.0000, 0.5000)  8 Ta 2.86
Br (0.0000, 0.5000, 0.0000)  8 Ta 2.86
Br (0.5000, 0.0000, 0.0000)  8 Ta 2.86
Br (0.5000, 0.5000, 0.5000)  8 Ta 2.86


Entry 4:
A relaxed structure of TaTiBr. Source: Alexandria via LeMat-Bulk, functional PBE-GGA.

## Properties
DFT total energy	-89.23	eV for the cell shown
space group	No. 12
raw formation energy	-0.296	eV/atom

abc: 18.3873 4.2717 3.6243
angles: 90.00 90.06 90.00
Last column: nearest neighbours and their distance in Å.
Atoms (fractional coordinates):
Ta (0.0549, 0.0000, 0.2503)  2 Ta 2.71, 6 Ti 2.80-2.99, 2 Br 2.95
Ta (0.4451, 0.5000, 0.7497)  2 Ta 2.71, 6 Ti 2.80-2.99, 2 Br 2.95
Ta (0.5549, 0.5000, 0.2503)  2 Ta 2.71, 6 Ti 2.80-2.99, 2 Br 2.95
Ta (0.9451, 0.0000, 0.7497)  2 Ta 2.71, 6 Ti 2.80-2.99, 2 Br 2.95
Ti (0.0588, 0.5000, 0.7503)  2 Br 2.67, 4 Ta 2.80, 2 Ti 2.82
Ti (0.4412, 0.0000, 0.2497)  2 Br 2.67, 4 Ta 2.80, 2 Ti 2.82
Ti (0.5588, 0.0000, 0.7503)  2 Br 2.67, 4 Ta 2.80, 2 Ti 2.82
Ti (0.9412, 0.5000, 0.2497)  2 Br 2.67, 4 Ta 2.80, 2 Ti 2.82
Br (0.1651, 0.5000, 0.2508)  2 Ti 2.67, 2 Ta 2.95
Br (0.3349, 0.0000, 0.7492)  2 Ti 2.67, 2 Ta 2.95
Br (0.6651, 0.0000, 0.2508)  2 Ti 2.67, 2 Ta 2.95
Br (0.8349, 0.5000, 0.7492)  2 Ti 2.67, 2 Ta 2.95


Entry 5:
A relaxed structure of Ta2TlBr. Source: Alexandria via LeMat-Bulk, functional PBE-GGA.

## Properties
energy above the most stable polymorph in this dataset	913	meV/atom
DFT total energy	-23.32	eV for the cell shown
space group	No. 123
raw formation energy	1.105	eV/atom

abc: 4.2393 4.2393 4.6907
angles: 90.00 90.00 90.00
Last column: nearest neighbours and their distance in Å.
Atoms (fractional coordinates):
Ta (0.0000, 0.5000, 0.0000)  4 Ta 3.00, 4 Tl 3.16, 4 Br 3.16
Ta (0.5000, 0.0000, 0.0000)  4 Ta 3.00, 4 Tl 3.16, 4 Br 3.16
Tl (0.0000, 0.0000, 0.5000)  4 Br 3.00, 8 Ta 3.16
Br (0.5000, 0.5000, 0.5000)  4 Tl 3.00, 8 Ta 3.16


Entry 6:
A relaxed structure of Ta2TlBr. Source: Alexandria via LeMat-Bulk, functional PBE-GGA.

## Properties
energy above the most stable polymorph in this dataset	504	meV/atom
DFT total energy	-24.96	eV for the cell shown
space group	No. 10
raw formation energy	0.696	eV/atom

abc: 3.3542 5.1455 5.4552
angles: 90.00 97.42 90.00
Last column: nearest neighbours and their distance in Å.
Atoms (fractional coordinates):
Ta (0.1936, 0.0000, 0.3119)  2 Ta 2.57-2.71
Ta (0.8064, 0.0000, 0.6881)  2 Ta 2.57-2.71
Tl (0.5000, 0.5000, 0.5000)  4 Ta 2.91, 2 Br 3.01
Br (0.0000, 0.5000, 0.0000)  2 Tl 3.01, 4 Ta 3.11, 2 Br 3.35


Entry 7:
A relaxed structure of Ta2TlBr. Source: Alexandria via LeMat-Bulk, functional PBE-GGA.

## Properties
energy above the most stable polymorph in this dataset	464	meV/atom
DFT total energy	-50.24	eV for the cell shown
space group	No. 65
raw formation energy	0.656	eV/atom

abc: 3.0023 5.6914 9.7699
angles: 90.00 90.00 90.00
Last column: nearest neighbours and their distance in Å.
Atoms (fractional coordinates):
Ta (0.0000, 0.0000, 0.2384)  2 Br 2.77, 2 Tl 2.96, 2 Ta 3.00
Ta (0.0000, 0.0000, 0.7616)  2 Br 2.77, 2 Tl 2.96, 2 Ta 3.00
Ta (0.5000, 0.5000, 0.2384)  2 Br 2.77, 2 Tl 2.96, 2 Ta 3.00
Ta (0.5000, 0.5000, 0.7616)  2 Br 2.77, 2 Tl 2.96, 2 Ta 3.00
Tl (0.0000, 0.5000, 0.5000)  4 Ta 2.96, 6 Tl 3.00-3.22
Tl (0.5000, 0.0000, 0.5000)  4 Ta 2.96, 6 Tl 3.00-3.22
Br (0.0000, 0.5000, 0.0000)  4 Ta 2.77, 2 Br 3.00
Br (0.5000, 0.0000, 0.0000)  4 Ta 2.77, 2 Br 3.00


Entry 8:
A relaxed structure of Ta2TlBr. Source: Alexandria via LeMat-Bulk, functional PBE-GGA.

## Properties
energy above the most stable polymorph in this dataset	68	meV/atom
DFT total energy	-26.70	eV for the cell shown
space group	No. 99
raw formation energy	0.260	eV/atom

abc: 3.0048 3.0048 10.5514
angles: 90.00 90.00 90.00
Last column: nearest neighbours and their distance in Å.
Atoms (fractional coordinates):
Ta (0.0000, 0.0000, 0.0000)  4 Br 2.81, 8 Ta 3.00-3.01
Ta (0.5000, 0.5000, 0.2023)  8 Ta 3.00-3.01
Tl (0.0000, 0.0000, 0.4596)  4 Tl 3.00
Br (0.5000, 0.5000, 0.8259)  4 Ta 2.81, 4 Br 3.00


Entry 9:
A relaxed structure of Ta2TlBr. Source: Alexandria via LeMat-Bulk, functional PBE-GGA.

## Properties
energy above the most stable polymorph in this dataset	483	meV/atom
DFT total energy	-50.08	eV for the cell shown
space group	No. 12
raw formation energy	0.676	eV/atom

abc: 11.3008 3.0338 5.5321
angles: 90.00 119.21 90.00
Last column: nearest neighbours and their distance in Å.
Atoms (fractional coordinates):
Ta (0.2315, 0.0000, 0.2320)  2 Br 2.74, 2 Ta 3.03, 2 Tl 3.05
Ta (0.2685, 0.5000, 0.7680)  2 Br 2.74, 2 Ta 3.03, 2 Tl 3.05
Ta (0.7315, 0.5000, 0.2320)  2 Br 2.74, 2 Ta 3.03, 2 Tl 3.05
Ta (0.7685, 0.0000, 0.7680)  2 Br 2.74, 2 Ta 3.03, 2 Tl 3.05
Tl (0.0000, 0.0000, 0.5000)  2 Tl 3.03, 4 Ta 3.05, 4 Br 3.15
Tl (0.5000, 0.5000, 0.5000)  2 Tl 3.03, 4 Ta 3.05, 4 Br 3.15
Br (0.0000, 0.5000, 0.0000)  4 Ta 2.74, 2 Br 3.03
Br (0.5000, 0.0000, 0.0000)  4 Ta 2.74, 2 Br 3.03


Entry 10:
A relaxed structure of Ta2TlBr. Source: Alexandria via LeMat-Bulk, functional PBE-GGA.

## Properties
energy above the most stable polymorph in this dataset	326	meV/atom
DFT total energy	-51.34	eV for the cell shown
space group	No. 38
raw formation energy	0.519	eV/atom

abc: 4.8406 3.0270 11.5662
angles: 90.00 90.00 90.00
Last column: nearest neighbours and their distance in Å.
Atoms (fractional coordinates):
Ta (0.0000, 0.0000, 0.0000)  2 Br 2.65
Ta (0.0000, 0.5000, 0.5000)  2 Br 2.65
Ta (0.5000, 0.0000, 0.3983)  2 Br 2.62, 1 Tl 2.92
Ta (0.5000, 0.5000, 0.8983)  2 Br 2.62, 1 Tl 2.92
Tl (0.5000, 0.0000, 0.6507)  3 Ta 2.92-3.24, 2 Tl 3.03
Tl (0.5000, 0.5000, 0.1507)  3 Ta 2.92-3.24, 2 Tl 3.03
Br (0.0000, 0.0000, 0.3119)  4 Ta 2.62-2.65
Br (0.0000, 0.5000, 0.8119)  4 Ta 2.62-2.65


Entry 11:
A relaxed structure of TaTl6Br12. Source: Alexandria via LeMat-Bulk, functional PBE-GGA.

## Properties
DFT total energy	-61.31	eV for the cell shown
space group	No. 148
raw formation energy	-0.799	eV/atom

abc: 9.2933 9.2933 9.2933
angles: 90.59 90.59 90.59
Last column: nearest neighbours and their distance in Å.
Atoms (fractional coordinates):
Ta (0.0000, 0.0000, 0.0000)  6 Br 2.54
Tl (0.1646, 0.3723, 0.6760)  4 Br 3.14-3.28
Tl (0.3240, 0.8354, 0.6277)  4 Br 3.14-3.28
Tl (0.3723, 0.6760, 0.1646)  4 Br 3.14-3.28
Tl (0.6277, 0.3240, 0.8354)  4 Br 3.14-3.28
Tl (0.6760, 0.1646, 0.3723)  4 Br 3.14-3.28
Tl (0.8354, 0.6277, 0.3240)  4 Br 3.14-3.28
Br (0.0016, 0.7266, 0.9952)  1 Ta 2.54
Br (0.0048, 0.9984, 0.2734)  1 Ta 2.54
Br (0.1729, 0.5935, 0.4231)  4 Tl 3.14-3.28
Br (0.2734, 0.0048, 0.9984)  1 Ta 2.54
Br (0.4065, 0.5769, 0.8271)  4 Tl 3.14-3.28
Br (0.4231, 0.1729, 0.5935)  4 Tl 3.14-3.28
Br (0.5769, 0.8271, 0.4065)  4 Tl 3.14-3.28
Br (0.5935, 0.4231, 0.1729)  4 Tl 3.14-3.28
Br (0.7266, 0.9952, 0.0016)  1 Ta 2.54
Br (0.8271, 0.4065, 0.5769)  4 Tl 3.14-3.28
Br (0.9952, 0.0016, 0.7266)  1 Ta 2.54
Br (0.9984, 0.2734, 0.0048)  1 Ta 2.54


Entry 12:
A relaxed structure of TaTlBr4. Source: Alexandria via LeMat-Bulk, functional PBE-GGA.

## Properties
energy above the most stable polymorph in this dataset	1585	meV/atom
DFT total energy	-14.99	eV for the cell shown
space group	No. 216
raw formation energy	0.987	eV/atom

abc: 6.3346 6.3346 6.3346
angles: 60.00 60.00 60.00
Last column: nearest neighbours and their distance in Å.
Atoms (fractional coordinates):
Ta (0.0000, 0.0000, 0.0000)  12 Br 3.71, 4 Tl 3.88
Tl (0.7500, 0.7500, 0.7500)  12 Br 3.72, 4 Ta 3.88
Br (0.3737, 0.3737, 0.3737)  6 Br 3.13-3.20
Br (0.3737, 0.3737, 0.8790)  6 Br 3.13-3.20
Br (0.3737, 0.8790, 0.3737)  6 Br 3.13-3.20
Br (0.8790, 0.3737, 0.3737)  6 Br 3.13-3.20


Entry 13:
A relaxed structure of TaTlBr3. Source: Alexandria via LeMat-Bulk, functional PBE-GGA.

## Properties
energy above the most stable polymorph in this dataset	0	meV/atom
DFT total energy	-20.28	eV for the cell shown
space group	No. 221
raw formation energy	-0.209	eV/atom

abc: 5.3965 5.3965 5.3965
angles: 90.00 90.00 90.00
Last column: nearest neighbours and their distance in Å.
Atoms (fractional coordinates):
Ta (0.0000, 0.0000, 0.0000)  6 Br 2.70
Tl (0.5000, 0.5000, 0.5000)  12 Br 3.82
Br (0.0000, 0.0000, 0.5000)  2 Ta 2.70
Br (0.0000, 0.5000, 0.0000)  2 Ta 2.70
Br (0.5000, 0.0000, 0.0000)  2 Ta 2.70


Entry 14:
A relaxed structure of Ta2TlBr. Source: Alexandria via LeMat-Bulk, functional PBE-GGA.

## Properties
energy above the most stable polymorph in this dataset	644	meV/atom
DFT total energy	-97.59	eV for the cell shown
space group	No. 225
raw formation energy	0.837	eV/atom

abc: 6.7685 6.7685 6.7685
angles: 90.00 90.00 90.00
Last column: nearest neighbours and their distance in Å.
Atoms (fractional coordinates):
Ta (0.2500, 0.2500, 0.2500)  4 Tl 2.93, 4 Br 2.93
Ta (0.2500, 0.2500, 0.7500)  4 Tl 2.93, 4 Br 2.93
Ta (0.2500, 0.7500, 0.2500)  4 Tl 2.93, 4 Br 2.93
Ta (0.2500, 0.7500, 0.7500)  4 Tl 2.93, 4 Br 2.93
Ta (0.7500, 0.2500, 0.2500)  4 Tl 2.93, 4 Br 2.93
Ta (0.7500, 0.2500, 0.7500)  4 Tl 2.93, 4 Br 2.93
Ta (0.7500, 0.7500, 0.2500)  4 Tl 2.93, 4 Br 2.93
Ta (0.7500, 0.7500, 0.7500)  4 Tl 2.93, 4 Br 2.93
Tl (0.0000, 0.0000, 0.0000)  8 Ta 2.93
Tl (0.0000, 0.5000, 0.5000)  8 Ta 2.93
Tl (0.5000, 0.0000, 0.5000)  8 Ta 2.93
Tl (0.5000, 0.5000, 0.0000)  8 Ta 2.93
Br (0.0000, 0.0000, 0.5000)  8 Ta 2.93
Br (0.0000, 0.5000, 0.0000)  8 Ta 2.93
Br (0.5000, 0.0000, 0.0000)  8 Ta 2.93
Br (0.5000, 0.5000, 0.5000)  8 Ta 2.93